# 1
Ta2CdW | Alexandria via LeMat-Bulk | PBE-GGA | relaxed; E_form = 331.4 meV per atom; volume = 145.5 Å³ per cell; density of states at the Fermi level = 3.215 states/eV/f.u.
1.0
3.437 0.000 0.000
0.000 4.614 0.000
0.000 0.000 9.175
Ta Cd W
4 2 2
Cartesian
0.000 0.000 0.000 Ta
0.000 2.307 2.267 Ta
1.718 0.000 6.854 Ta
1.718 2.307 4.587 Ta
0.000 0.000 4.442 Cd
1.718 2.307 9.029 Cd
0.000 2.307 6.676 W
1.718 0.000 2.089 W

=====

# 2
TaCd2W | Alexandria via LeMat-Bulk | PBE-GGA | relaxed; E_form = 895.6 meV per atom; volume = 293.7 Å³ per cell; density of states at the Fermi level = 2.636 states/eV/f.u.
1.0
6.647 0.000 0.000
0.000 6.647 0.000
0.000 0.000 6.647
Ta Cd W
4 8 4
Cartesian
0.000 0.000 0.000 Ta
0.000 3.324 3.324 Ta
3.324 0.000 3.324 Ta
3.324 3.324 0.000 Ta
1.662 1.662 1.662 Cd
1.662 1.662 4.985 Cd
1.662 4.985 1.662 Cd
1.662 4.985 4.985 Cd
4.985 1.662 1.662 Cd
4.985 1.662 4.985 Cd
4.985 4.985 1.662 Cd
4.985 4.985 4.985 Cd
0.000 0.000 3.324 W
0.000 3.324 0.000 W
3.324 0.000 0.000 W
3.324 3.324 3.324 W

=====

# 3
TaCd2W | Alexandria via LeMat-Bulk | PBE-GGA | relaxed; E_form = 531.7 meV per atom; volume = 223.6 Å³ per cell; density of states at the Fermi level = 5.417 states/eV/f.u.
1.0
2.920 0.000 0.000
-1.460 2.529 0.000
0.000 0.000 30.278
Ta Cd W
3 6 3
Cartesian
0.000 0.000 0.000 Ta
0.000 1.686 20.185 Ta
1.460 0.843 10.093 Ta
0.000 0.000 7.508 Cd
0.000 0.000 22.770 Cd
0.000 1.686 12.677 Cd
0.000 1.686 27.693 Cd
1.460 0.843 2.585 Cd
1.460 0.843 17.600 Cd
0.000 0.000 15.139 W
0.000 1.686 5.046 W
1.460 0.843 25.231 W

=====

# 4
Ta2CdW | Alexandria via LeMat-Bulk | PBE-GGA | relaxed; E_form = 326.5 meV per atom; volume = 145.2 Å³ per cell; density of states at the Fermi level = 3.096 states/eV/f.u.
1.0
3.550 0.000 0.000
0.000 4.641 0.000
0.000 0.000 8.810
Ta Cd W
4 2 2
Cartesian
0.000 0.000 2.077 Ta
0.000 0.000 6.733 Ta
1.775 2.321 2.328 Ta
1.775 2.321 6.482 Ta
0.000 2.321 0.000 Cd
1.775 0.000 4.405 Cd
0.000 2.321 4.405 W
1.775 0.000 0.000 W

=====

# 5
TaCdW2 | Alexandria via LeMat-Bulk | PBE-GGA | relaxed; E_form = 387.3 meV per atom; volume = 139.2 Å³ per cell; density of states at the Fermi level = 2.953 states/eV/f.u.
1.0
5.697 0.000 0.000
0.000 9.389 0.000
-0.910 0.000 2.603
Ta Cd W
2 2 4
Cartesian
0.000 0.000 0.000 Ta
2.848 4.694 0.000 Ta
0.000 4.694 0.000 Cd
2.848 0.000 0.000 Cd
0.969 2.347 1.302 W
0.969 7.042 1.302 W
3.818 2.347 1.302 W
3.818 7.042 1.302 W

=====

# 6
TaCd2W | Alexandria via LeMat-Bulk | PBE-GGA | relaxed; E_form = 243.1 meV per atom; volume = 151.4 Å³ per cell; density of states at the Fermi level = 3.013 states/eV/f.u.
1.0
3.383 0.000 0.000
0.000 4.633 0.000
0.000 0.000 9.660
Ta Cd W
2 4 2
Cartesian
0.000 0.000 0.000 Ta
1.691 2.317 0.000 Ta
0.000 0.000 5.103 Cd
0.000 2.317 2.481 Cd
1.691 0.000 2.481 Cd
1.691 2.317 5.103 Cd
0.000 2.317 7.518 W
1.691 0.000 7.518 W

=====

# 7
TaCdW3 | Alexandria via LeMat-Bulk | PBE-GGA | relaxed; E_form = 2171.7 meV per atom; volume = 111.5 Å³ per cell; density of states at the Fermi level = 5.458 states/eV/f.u.
1.0
4.814 0.000 0.000
0.000 4.814 0.000
0.000 0.000 4.814
Ta Cd W
1 1 3
Cartesian
0.000 0.000 0.000 Ta
2.407 2.407 2.407 Cd
0.000 0.000 2.407 W
0.000 2.407 0.000 W
2.407 0.000 0.000 W

=====

# 8
TaCdW3 | Alexandria via LeMat-Bulk | PBE-GGA | relaxed; E_form = 2922.8 meV per atom; volume = 108.9 Å³ per cell; density of states at the Fermi level = 6.401 states/eV/f.u.
1.0
4.775 0.000 0.000
0.000 4.775 0.000
0.000 0.000 4.775
Ta Cd W
1 1 3
Cartesian
0.000 0.000 0.000 Ta
2.387 2.387 2.387 Cd
0.000 2.387 2.387 W
2.387 0.000 2.387 W
2.387 2.387 0.000 W